(1)
{"formula": "ZnSbSe", "functional": "meta-GGA SCAN", "state": "single point on PBEsol structure", "lattice": [[4.723, 0.000, 0.000], [2.361, 4.090, 0.000], [2.361, 1.363, 3.856]], "species": ["Se", "Sb", "Zn"], "frac_coords": [[0.250, 0.250, 0.250], [0.500, 0.500, 0.500], [0.000, 0.000, 0.000]], "volume_a3_per_cell": 74, "raw_formation_energy_mev_per_atom": 498.8, "crystal_system": "cubic"}

(2)
{"formula": "K2YBP", "functional": "meta-GGA SCAN", "state": "single point on PBEsol structure", "lattice": [[-3.752, -2.842, 1.877], [3.238, -0.046, 6.403], [-3.574, 5.941, 1.850]], "species": ["B", "Y", "K", "K", "P"], "frac_coords": [[0.500, 0.500, 0.500], [0.000, 0.000, 0.000], [0.000, 0.000, 0.500], [0.000, 0.500, 0.000], [0.500, 0.000, 0.000]], "volume_a3_per_cell": 261, "crystal_system": "tetragonal", "formation_enthalpy_0k_ev_per_fu": 6.035}

(3)
{"formula": "CsReGe2N", "functional": "meta-GGA SCAN", "state": "single point on PBEsol structure", "lattice": [[3.828, 0.000, 0.000], [0.000, 5.187, 0.000], [0.000, 0.000, 5.187]], "species": ["Cs", "Ge", "Re", "N", "Ge"], "frac_coords": [[0.500, 0.500, 0.500], [0.000, 0.000, 0.500], [0.500, 0.000, 0.000], [0.000, 0.000, 0.000], [0.000, 0.500, 0.000]], "volume_a3_per_cell": 103, "raw_formation_energy_mev_per_atom": 1151.9, "crystal_system": "tetragonal"}

(4)
{"formula": "Ta6Co16Si7", "functional": "meta-GGA SCAN", "state": "single point on PBEsol structure", "lattice": [[-7.059, 0.644, -3.269], [-2.808, -5.804, -4.400], [-5.923, -4.363, 2.611]], "species": ["Co", "Co", "Co", "Ta", "Si", "Co", "Co", "Co", "Si", "Co", "Co", "Si", "Ta", "Co", "Co", "Co", "Ta", "Co", "Si", "Ta", "Ta", "Co", "Co", "Co", "Co", "Si", "Ta", "Si", "Si"], "frac_coords": [[0.834, 0.834, 0.499], [0.619, 0.619, 0.144], [0.166, 0.501, 0.166], [0.797, 0.203, 0.203], [0.000, 0.000, 0.500], [0.834, 0.834, 0.834], [0.144, 0.619, 0.619], [0.619, 0.144, 0.619], [0.000, 0.500, 0.000], [0.381, 0.856, 0.381], [0.166, 0.166, 0.501], [0.000, 0.500, 0.500], [0.203, 0.797, 0.203], [0.166, 0.166, 0.166], [0.619, 0.619, 0.619], [0.856, 0.381, 0.381], [0.203, 0.797, 0.797], [0.501, 0.166, 0.166], [0.500, 0.500, 0.000], [0.797, 0.797, 0.203], [0.203, 0.203, 0.797], [0.499, 0.834, 0.834], [0.381, 0.381, 0.381], [0.834, 0.499, 0.834], [0.381, 0.381, 0.856], [0.500, 0.500, 0.500], [0.797, 0.203, 0.797], [0.500, 0.000, 0.500], [0.500, 0.000, 0.000]], "volume_a3_per_cell": 336, "raw_formation_energy_mev_per_atom": -495.0, "crystal_system": "cubic"}

(5)
{"formula": "FeIr2Cl", "functional": "meta-GGA SCAN", "state": "single point on PBEsol structure", "lattice": [[-0.475, 1.941, 1.856], [-2.163, -3.061, 2.648], [4.395, -0.176, 1.309]], "species": ["Ir", "Cl", "Fe", "Ir"], "frac_coords": [[0.000, 0.000, 0.500], [0.500, 0.000, 0.000], [0.500, 0.500, 0.500], [0.000, 0.500, 0.000]], "e_above_lowest_polymorph_mev_per_atom": 355, "volume_a3_per_cell": 55, "raw_formation_energy_mev_per_atom": 945.3, "crystal_system": "orthorhombic"}

(6)
{"formula": "Ta2BeCo", "functional": "meta-GGA SCAN", "state": "single point on PBEsol structure", "lattice": [[-0.160, -0.133, 2.790], [-2.492, -0.244, 1.249], [-0.249, -8.455, 0.984]], "species": ["Ta", "Co", "Be", "Ta"], "frac_coords": [[0.251, 0.251, 0.247], [0.000, 0.000, 0.000], [0.500, 0.500, 0.500], [0.749, 0.749, 0.753]], "volume_a3_per_cell": 57, "crystal_system": "trigonal", "formation_enthalpy_0k_ev_per_fu": 1.308}

(7)
{"formula": "La2InAu", "functional": "meta-GGA SCAN", "state": "single point on PBEsol structure", "lattice": [[-2.660, -1.270, 2.339], [2.482, -4.311, 0.482], [2.804, 2.097, 4.325]], "species": ["Au", "La", "La", "In"], "frac_coords": [[0.375, 0.000, 0.461], [0.875, 0.000, 0.937], [0.875, 0.500, 0.314], [0.375, 0.500, 0.789]], "volume_a3_per_cell": 105, "crystal_system": "orthorhombic", "formation_enthalpy_0k_ev_per_fu": -3.152}

(8)
{"formula": "CuC3", "functional": "meta-GGA SCAN", "state": "single point on PBEsol structure", "lattice": [[3.767, 0.000, 0.000], [0.000, 3.767, 0.000], [0.000, 0.000, 3.767]], "species": ["C", "C", "C", "Cu"], "frac_coords": [[0.000, 0.000, 0.500], [0.500, 0.000, 0.000], [0.000, 0.500, 0.000], [0.000, 0.000, 0.000]], "volume_a3_per_cell": 53, "crystal_system": "cubic", "formation_enthalpy_0k_ev_per_fu": 15.330}

(9)
{"formula": "YMgRu", "functional": "meta-GGA SCAN", "state": "single point on PBEsol structure", "lattice": [[3.354, 0.000, 0.000], [0.000, 3.354, 0.000], [-1.677, -1.677, 5.399]], "species": ["Y", "Mg", "Ru"], "frac_coords": [[0.306, 0.306, 0.612], [0.032, 0.032, 0.064], [0.662, 0.662, 0.324]], "volume_a3_per_cell": 61, "crystal_system": "tetragonal", "formation_enthalpy_0k_ev_per_fu": -0.682}

(10)
{"formula": "KCo2P2", "functional": "meta-GGA SCAN", "state": "single point on PBEsol structure", "lattice": [[3.620, 0.000, 0.000], [0.000, 3.620, 0.000], [-1.810, -1.810, 6.494]], "species": ["K", "P", "Co", "Co", "P"], "frac_coords": [[0.000, 0.000, 0.000], [0.343, 0.343, 0.685], [0.750, 0.250, 0.500], [0.250, 0.750, 0.500], [0.657, 0.657, 0.315]], "volume_a3_per_cell": 85, "crystal_system": "tetragonal", "formation_enthalpy_0k_ev_per_fu": -2.870}

(11)
{"formula": "InFe2BSe", "functional": "meta-GGA SCAN", "state": "single point on PBEsol structure", "lattice": [[4.830, 0.000, 0.000], [0.000, 4.830, 0.000], [0.000, 0.000, 5.136]], "species": ["B", "Fe", "Se", "In", "Fe"], "frac_coords": [[0.500, 0.500, 0.500], [0.000, 0.500, 0.000], [0.000, 0.000, 0.500], [0.000, 0.000, 0.000], [0.500, 0.000, 0.000]], "volume_a3_per_cell": 120, "raw_formation_energy_mev_per_atom": 2039.8, "crystal_system": "tetragonal"}

(12)
{"formula": "BeCu2Ir", "functional": "meta-GGA SCAN", "state": "single point on PBEsol structure", "lattice": [[2.755, 0.000, 0.000], [0.000, 4.214, -0.014], [-1.377, -1.524, 3.914]], "species": ["Cu", "Ir", "Cu", "Be"], "frac_coords": [[0.984, 0.029, 0.967], [0.518, 0.558, 0.036], [0.742, 0.212, 0.483], [0.257, 0.701, 0.513]], "volume_a3_per_cell": 45, "crystal_system": "monoclinic", "formation_enthalpy_0k_ev_per_fu": -0.556}

Question: Which formula does entry 4 have?
Answer: Ta6Co16Si7

Question: Which formula does entry 11 have?
Answer: InFe2BSe